A relaxed structure of Sc2PIrOs, computed with PBE.

POSCAR file:
```
Sc2PIrOs
1.0
-3.394 -0.036 3.647
-3.451 -1.581 -3.227
1.105 -4.424 0.985
P Ir Sc Os
1 1 2 1
Cartesian
-2.870 -3.020 0.703
0.553 -2.212 0.493
-1.697 -0.018 1.823
-1.725 -0.791 -1.614
0.000 0.000 0.000
```

Space-group type: No. 123
M_tot in μB/atom: 0.0000
Density of states at the Fermi level in states/eV/cell: 4.01
VASP energy in eV per cell: -35.75

A relaxed structure of KLiZr2Zn, computed with PBE.

POSCAR file:
```
KLiZr2Zn
1.0
5.203 0.000 0.000
0.000 5.190 0.000
0.000 0.000 5.203
Zr K Zn Li
2 1 1 1
Cartesian
0.000 0.000 2.602
2.602 0.000 0.000
2.602 2.595 2.602
0.000 0.000 0.000
0.000 2.595 0.000
```

Space-group type: No. 123
M_tot in μB/atom: 0.0000
Density of states at the Fermi level in states/eV/cell: 5.11
VASP energy in eV per cell: -17.52

A relaxed structure of Pu2Te2I, computed with PBE.

POSCAR file:
```
Pu2Te2I
1.0
4.290 0.000 -1.126
-0.296 4.280 -1.126
0.294 0.315 9.855
Te Pu I
2 2 1
Cartesian
2.762 2.959 1.788
1.526 1.635 5.815
3.537 3.790 4.741
0.751 0.805 2.862
0.000 0.000 0.000
```

Energy relative to the elements, uncorrected in eV/atom: -1.057
Space-group type: No. 139
M_tot in μB/atom: 2.1993
Density of states at the Fermi level in states/eV/cell: 24.42
VASP energy in eV per cell: -41.78

A relaxed structure of ZnGaCu6, computed with PBE.

POSCAR file:
```
ZnGaCu6
1.0
4.289 0.000 0.000
0.000 4.578 -2.435
0.000 -0.157 5.183
Cu Zn Ga
6 1 1
Cartesian
0.000 0.311 1.953
2.144 4.172 -1.783
0.000 2.613 0.726
0.000 2.532 3.334
2.144 4.097 0.784
2.144 1.904 -0.578
2.144 1.814 2.011
0.000 0.239 4.546
```

Space-group type: No. 38
M_tot in μB/atom: 0.0000
Density of states at the Fermi level in states/eV/cell: 3.02
VASP energy in eV per cell: -29.54
E above lowest polymorph in eV per atom: 0.000

A relaxed structure of K3PdCl, computed with PBE.

POSCAR file:
```
K3PdCl
1.0
5.854 0.000 0.000
0.000 5.854 0.000
0.000 0.000 5.854
Cl K Pd
1 3 1
Cartesian
0.000 0.000 0.000
0.000 2.927 0.000
0.000 0.000 2.927
2.927 0.000 0.000
2.927 2.927 2.927
```

Energy relative to the elements, uncorrected in eV/atom: -0.571
Space-group type: No. 221
M_tot in μB/atom: 0.0000
Density of states at the Fermi level in states/eV/cell: 0.00
VASP energy in eV per cell: -13.18
E above lowest polymorph in eV per atom: 0.000

A relaxed structure of VB2Mo, computed with PBE.

POSCAR file:
```
VB2Mo
1.0
0.000 2.729 2.729
2.729 0.000 2.729
2.729 2.729 0.000
Mo B V
1 2 1
Cartesian
2.729 2.729 2.729
4.093 4.093 4.093
1.364 1.364 1.364
0.000 0.000 0.000
```

Space-group type: No. 225
M_tot in μB/atom: 0.0001
Density of states at the Fermi level in states/eV/cell: 3.59
VASP energy in eV per cell: -32.71
E above lowest polymorph in eV per atom: 0.843

A relaxed structure of Hf3PbS, computed with PBE.

POSCAR file:
```
Hf3PbS
1.0
5.344 0.000 0.000
0.000 5.344 0.000
0.000 0.000 5.344
Pb Hf S
1 3 1
Cartesian
0.000 0.000 0.000
0.000 0.000 2.672
2.672 0.000 0.000
0.000 2.672 0.000
2.672 2.672 2.672
```

Energy relative to the elements, uncorrected in eV/atom: 1.617
Space-group type: No. 221
M_tot in μB/atom: 0.2089
Density of states at the Fermi level in states/eV/cell: 8.46
VASP energy in eV per cell: -29.61
E above lowest polymorph in eV per atom: 1.837

A relaxed structure of Sm4Tm3Sc5, computed with PBE.

POSCAR file:
```
Sm4Tm3Sc5
1.0
5.690 0.000 0.000
2.845 7.381 -2.294
2.845 -0.591 8.647
Sc Tm Sm
5 3 4
Cartesian
8.534 3.386 6.232
5.690 3.395 3.176
2.845 3.404 0.120
8.534 6.301 4.784
2.845 0.488 1.568
2.845 3.395 3.176
5.690 1.792 5.876
5.690 4.997 0.476
5.690 5.132 6.445
2.845 -0.073 5.224
8.534 6.862 1.128
5.690 1.658 -0.093
```

Space-group type: No. 12
M_tot in μB/atom: 0.0587
Density of states at the Fermi level in states/eV/cell: 19.09
VASP energy in eV per cell: -61.09